Record 1
LiInF2 after structural relaxation. Source: the Alexandria database, functional PBEsol.

Values from the calculation:
Raw formation energy (kcal/mol of atoms): -52.10
Volume (Å³/atom): 12.51

Cell: 2.9845 2.9845 19.4561 Å, 90.00 90.00 120.00°
Space group R-3m (No. 166, hexagonal axes)
Asymmetric unit:
Li: 0.0000 0.0000 0.0000 x3
In: 0.0000 0.0000 0.5000 x3
F: 0.0000 0.0000 0.3883 x6

***

Record 2
SrTaSb after structural relaxation. Source: the Alexandria database, functional PBEsol.

Values from the calculation:
Raw formation energy (kcal/mol of atoms): 7.59
Volume (Å³/atom): 28.34

Cell: 4.7420 4.7420 4.3657 Å, 90.00 90.00 120.00°
Space group P-6m2 (No. 187)
Asymmetric unit:
Sr: 0.0000 0.0000 0.0000 x1
Ta: 0.6667 0.3333 0.5000 x1
Sb: 0.3333 0.6667 0.5000 x1

***

Record 3
ZnTeP2S after structural relaxation. Source: the Alexandria database, functional PBEsol.

Values from the calculation:
Raw formation energy (kcal/mol of atoms): 15.98
Volume (Å³/atom): 19.39

Cell: 4.653 4.653 4.479 Å, 90.00 90.00 90.00°
Space group P4/mmm (No. 123)
Asymmetric unit:
Zn: 0.000 0.000 0.000 x1
Te: 0.500 0.500 0.500 x1
P: 0.000 0.500 0.000 x2
S: 0.000 0.000 0.500 x1

***

Record 4
La3Tl after structural relaxation. Source: the Alexandria database, functional PBEsol.

Values from the calculation:
Volume (Å³/atom): 31.23
Calculated formation energy (eV/atom): -0.25

Cell: 3.645 11.227 6.104 Å, 90.00 90.00 90.00°
Space group Imm2 (No. 44)
Asymmetric unit:
La: 0.000 0.000 0.000 x2
La: 0.000 0.228 0.635 x4
Tl: 0.000 0.500 0.959 x2

***

Q: The highest volume belongs to which entry?
A: La3Tl